Compound: AlTe3
Source: Alexandria via LeMat-Bulk
Functional: GGA-PBEsol
Structure: relaxed

Unit cell a=6.0919 b=6.0919 c=5.4205 alpha=104.18 beta=104.18 gamma=35.42
Closest atoms and distances in Å follow each position.
Atoms (fractional coordinates):
Al 0.0000 0.0000 0.0000  4 Te 2.74
Te 0.3247 0.3247 0.8152  2 Al 2.74, 1 Te 2.97
Te 0.5000 0.5000 0.5000  2 Te 2.97, 4 Al 3.28
Te 0.6753 0.6753 0.1848  2 Al 2.74, 1 Te 2.97

Computed properties:
- DFT total energy (eV/atom) = -3.652
- crystal system = monoclinic
- energy relative to the elements, uncorrected (meV/atom) = 15